Entry 1:
Compound: BaY2CdBi
Source: the Alexandria database
Functional: PBE-GGA
Structure: optimized geometry

Cell: 5.946 5.860 5.946 Å, 90.00 90.00 90.00°
Atoms (fractional coordinates):
1 Y 0.000 0.000 0.500
2 Y 0.500 0.000 0.000
3 Cd 0.000 0.500 0.000
4 Bi 0.000 0.000 0.000
5 Ba 0.500 0.500 0.500

Output
ΔH_f (0 K)	0.154	eV per atom
SG	P4/mmm (123)

---

Entry 2:
Compound: Ce7FeCl12
Source: the Alexandria database
Functional: PBE-GGA
Structure: optimized geometry

Cell: 9.103 9.103 9.103 Å, 107.77 107.77 107.77°
Atoms (fractional coordinates):
1 Cl 0.078 0.686 0.212
2 Cl 0.686 0.212 0.078
3 Cl 0.212 0.078 0.686
4 Cl 0.922 0.314 0.788
5 Cl 0.619 0.525 0.839
6 Cl 0.525 0.839 0.619
7 Cl 0.475 0.161 0.381
8 Cl 0.161 0.381 0.475
9 Cl 0.788 0.922 0.314
10 Cl 0.839 0.619 0.525
11 Cl 0.314 0.788 0.922
12 Cl 0.381 0.475 0.161
13 Ce 0.123 0.033 0.324
14 Ce 0.500 0.500 0.500
15 Ce 0.967 0.676 0.877
16 Ce 0.324 0.123 0.033
17 Ce 0.033 0.324 0.123
18 Ce 0.877 0.967 0.676
19 Ce 0.676 0.877 0.967
20 Fe 0.000 0.000 0.000

Output
SG	R-3 (148)
formation energy from raw total energies	-1.78	eV/atom

---

DFT total energy for the records above, in order: -0.27750; -0.39605 Ry/atom